Entry 1:
# NpRe5

A geometry-optimized NpRe5 structure (GGA-PBE, Alexandria via LeMat-Bulk).

Calculated values
Raw total energy: -12.3259 eV per atom
ΔH_f (0 K): 118.3 kJ/mol of formula units

abc: 3.9879 4.0526 6.3366
angles: 108.65 90.00 90.00
Fractional positions:
Re1 0.0000 0.3191 0.6382
Re2 0.5000 0.5000 0.0000
Re3 0.0000 0.6809 0.3618
Re4 0.5000 0.8256 0.6513
Np1 0.0000 0.0000 0.0000
Re5 0.5000 0.1744 0.3487

Entry 2:
# Np4Re

A geometry-optimized Np4Re structure (GGA-PBE, Alexandria via LeMat-Bulk).

Calculated values
Raw total energy: -11.7217 eV per atom
ΔH_f (0 K): 540.6 kJ/mol of formula units

abc: 5.2582 5.2582 5.2582
angles: 90.00 90.00 90.00
Fractional positions:
Re1 0.5000 0.5000 0.5000
Np1 0.5000 0.0000 0.5000
Np2 0.5000 0.5000 0.0000
Np3 0.0000 0.5000 0.5000
Np4 0.0000 0.0000 0.0000

Entry 3:
# Np2Re

A geometry-optimized Np2Re structure (GGA-PBE, Alexandria via LeMat-Bulk).

Calculated values
Raw total energy: -12.6457 eV per atom
ΔH_f (0 K): 37.9 kJ/mol of formula units

abc: 3.2726 3.2726 5.3893
angles: 107.67 107.67 90.00
Fractional positions:
Re1 0.0000 0.0000 0.0000
Np1 0.6878 0.6878 0.3756
Np2 0.3122 0.3122 0.6244